# 1
{"formula": "Ba2NaSn2", "functional": "PBE-GGA", "state": "relaxed", "cell": [[-1.973, 4.586, -3.347], [2.759, -5.349, -3.558], [-9.837, -2.899, 1.826]], "species": ["Ba", "Ba", "Ba", "Ba", "Na", "Na", "Sn", "Sn", "Sn", "Sn"], "frac_coords": [[0.403, 0.304, 0.134], [0.099, 0.696, 0.366], [0.597, 0.696, 0.866], [0.901, 0.304, 0.634], [0.752, 0.000, 0.250], [0.248, 0.000, 0.750], [0.619, 0.736, 0.539], [0.883, 0.264, 0.961], [0.381, 0.264, 0.461], [0.117, 0.736, 0.039]], "mass_density_kg_m3": 4677, "volume_a3_per_cell": 379.95, "n_ef_per_ev_cell": 4.4, "spacegroup": "C2/c, No. 15", "e_above_lowest_polymorph_ev_per_fu": 0.06, "magnetic_moment_mub_per_fu": 0.0, "energy_ev_per_atom": -3.14}

# 2
{"formula": "La4PrS6", "functional": "PBE-GGA", "state": "relaxed", "cell": [[4.056, 0.000, 0.000], [-2.028, 6.861, 0.000], [0.000, 0.000, 20.733]], "species": ["La", "La", "La", "La", "La", "La", "La", "La", "Pr", "Pr", "S", "S", "S", "S", "S", "S", "S", "S", "S", "S", "S", "S"], "frac_coords": [[0.861, 0.723, 0.541], [0.409, 0.818, 0.130], [0.139, 0.277, 0.459], [0.591, 0.182, 0.870], [0.861, 0.723, 0.959], [0.139, 0.277, 0.041], [0.591, 0.182, 0.630], [0.409, 0.818, 0.370], [0.654, 0.308, 0.250], [0.346, 0.692, 0.750], [0.500, 0.000, 0.000], [0.500, 0.000, 0.500], [0.052, 0.103, 0.331], [0.948, 0.897, 0.669], [0.948, 0.897, 0.831], [0.052, 0.103, 0.169], [0.770, 0.541, 0.409], [0.230, 0.459, 0.591], [0.230, 0.459, 0.909], [0.770, 0.541, 0.091], [0.302, 0.605, 0.250], [0.698, 0.395, 0.750]], "mass_density_kg_m3": 5117, "volume_a3_per_cell": 576.96, "n_ef_per_ev_cell": 8.1, "spacegroup": "Cmcm, No. 63", "magnetic_moment_mub_per_fu": 0.0, "energy_ev_per_atom": -6.59, "e_form_raw_mev_per_atom": -2115}

# 3
{"formula": "LiHoCd2", "functional": "PBE-GGA", "state": "relaxed", "cell": [[3.440, 0.000, 0.000], [0.000, 3.440, 0.000], [0.000, 0.000, 7.479]], "species": ["Li", "Ho", "Cd", "Cd"], "frac_coords": [[0.500, 0.500, 0.000], [0.500, 0.500, 0.500], [0.000, 0.000, 0.787], [0.000, 0.000, 0.213]], "mass_density_kg_m3": 7445, "volume_a3_per_cell": 88.48, "n_ef_per_ev_cell": 3.4, "spacegroup": "P4/mmm, No. 123", "e_above_lowest_polymorph_ev_per_fu": 0.00, "magnetic_moment_mub_per_fu": 0.1, "energy_ev_per_atom": -2.34}

# 4
{"formula": "Ho3SnSe6", "functional": "PBE-GGA", "state": "relaxed", "cell": [[-1.888, -5.263, 4.208], [8.340, -0.443, 3.187], [-3.926, 5.827, 5.527]], "species": ["Ho", "Ho", "Ho", "Ho", "Ho", "Ho", "Sn", "Sn", "Se", "Se", "Se", "Se", "Se", "Se", "Se", "Se", "Se", "Se", "Se", "Se"], "frac_coords": [[0.481, 0.911, 0.716], [0.981, 0.716, 0.911], [0.388, 0.406, 0.594], [0.888, 0.594, 0.406], [0.981, 0.089, 0.284], [0.481, 0.284, 0.089], [0.011, 0.200, 0.800], [0.511, 0.800, 0.200], [0.182, 0.697, 0.629], [0.682, 0.629, 0.697], [0.223, 0.452, 0.905], [0.723, 0.905, 0.452], [0.199, 0.027, 0.973], [0.614, 0.222, 0.778], [0.114, 0.778, 0.222], [0.699, 0.973, 0.027], [0.223, 0.095, 0.548], [0.723, 0.548, 0.095], [0.182, 0.371, 0.303], [0.682, 0.303, 0.371]], "mass_density_kg_m3": 6622, "volume_a3_per_cell": 545.31, "n_ef_per_ev_cell": 7.5, "spacegroup": "Cmc2_1, No. 36", "magnetic_moment_mub_per_fu": 0.0, "energy_ev_per_atom": -5.29, "e_form_raw_mev_per_atom": -1425}

# 5
{"formula": "ErTm3Te2", "functional": "PBE-GGA", "state": "relaxed", "cell": [[3.883, 0.000, 0.000], [-1.941, 10.904, -1.087], [0.000, -5.998, 8.614]], "species": ["Er", "Er", "Tm", "Tm", "Tm", "Tm", "Tm", "Tm", "Te", "Te", "Te", "Te"], "frac_coords": [[0.890, 0.780, 0.873], [0.110, 0.220, 0.127], [0.312, 0.623, 0.500], [0.951, 0.901, 0.556], [0.633, 0.265, 0.799], [0.367, 0.735, 0.201], [0.049, 0.099, 0.444], [0.688, 0.377, 0.500], [0.495, 0.990, 0.830], [0.505, 0.010, 0.170], [0.746, 0.492, 0.192], [0.254, 0.508, 0.808]], "mass_density_kg_m3": 9093, "volume_a3_per_cell": 339.39, "n_ef_per_ev_cell": 13.7, "spacegroup": "C2/m, No. 12", "magnetic_moment_mub_per_fu": 0.0, "energy_ev_per_atom": -4.77, "e_form_raw_mev_per_atom": -729}

# 6
{"formula": "MgAl3Pd12", "functional": "PBE-GGA", "state": "relaxed", "cell": [[-2.941, 2.098, -1.547], [-2.398, -3.092, 0.365], [-4.060, 4.835, 14.272]], "species": ["Mg", "Al", "Al", "Al", "Pd", "Pd", "Pd", "Pd", "Pd", "Pd", "Pd", "Pd", "Pd", "Pd", "Pd", "Pd"], "frac_coords": [[0.000, 0.000, 0.000], [0.000, 0.000, 0.251], [0.000, 0.000, 0.500], [0.000, 0.000, 0.749], [0.500, 0.500, 0.000], [0.500, 0.500, 0.253], [0.500, 0.500, 0.500], [0.500, 0.500, 0.747], [0.500, 0.000, 0.130], [0.500, 0.000, 0.376], [0.500, 0.000, 0.624], [0.500, 0.000, 0.870], [0.000, 0.500, 0.130], [0.000, 0.500, 0.376], [0.000, 0.500, 0.624], [0.000, 0.500, 0.870]], "mass_density_kg_m3": 9522, "volume_a3_per_cell": 241.06, "n_ef_per_ev_cell": 18.5, "spacegroup": "P4/mmm, No. 123", "magnetic_moment_mub_per_fu": 0.0, "energy_ev_per_atom": -5.26}

# 7
{"formula": "HoEr6Mg", "functional": "PBE-GGA", "state": "relaxed", "cell": [[4.782, 0.000, 1.306], [2.200, 5.427, 1.352], [0.065, -0.075, 9.175]], "species": ["Ho", "Er", "Er", "Er", "Er", "Er", "Er", "Mg"], "frac_coords": [[0.000, 0.500, 0.500], [0.250, 0.874, 0.627], [0.501, 0.247, 0.750], [0.246, 0.384, 0.124], [0.499, 0.753, 0.250], [0.750, 0.126, 0.373], [0.754, 0.616, 0.876], [0.000, 0.000, 0.000]], "mass_density_kg_m3": 8324, "volume_a3_per_cell": 237.95, "n_ef_per_ev_cell": 12.7, "spacegroup": "C2/m, No. 12", "e_above_lowest_polymorph_ev_per_fu": 0.00, "magnetic_moment_mub_per_fu": 0.0, "energy_ev_per_atom": -4.16}

# 8
{"formula": "CeSc2Co", "functional": "PBE-GGA", "state": "relaxed", "cell": [[3.419, 0.000, 0.000], [1.710, 2.961, 0.000], [1.710, 0.987, 8.925]], "species": ["Ce", "Sc", "Sc", "Co"], "frac_coords": [[0.502, 0.502, 0.495], [0.057, 0.057, 0.829], [0.275, 0.275, 0.175], [0.666, 0.666, 0.001]], "mass_density_kg_m3": 5310, "volume_a3_per_cell": 90.36, "n_ef_per_ev_cell": 7.0, "spacegroup": "R3m, No. 160", "e_above_lowest_polymorph_ev_per_fu": 0.81, "magnetic_moment_mub_per_fu": 1.2, "energy_ev_per_atom": -6.40}